Entry from Alexandria via LeMat-Bulk: a relaxed LiPm2Rh crystal (PBE-GGA).

Cell lengths 5.0580, 5.0651, 5.0651 Å; angles 89.93, 119.95, 119.95 degrees
With the nearest neighbours (Å) after each atom.
Element x y z (fractional)
Li1 0.5000 0.7500 0.2500  8 Pm 3.10
Rh1 0.5000 0.2500 0.7500  8 Pm 3.10-3.11
Pm1 0.0000 0.4994 0.5006  4 Rh 3.10-3.11, 4 Li 3.10
Pm2 0.0000 0.0006 0.9994  4 Rh 3.10-3.11, 4 Li 3.10

Summary:
ΔH_f (0 K)	-8.53	kcal/mol of atoms
ρ	7.222	g/cm³
symmetry	Immm (71)
calculated total energy	-5.062	eV per atom
crystal system	orthorhombic

***

Entry from Alexandria via LeMat-Bulk: a relaxed Tl4Sn2Hg5 crystal (PBE-GGA).

Cell lengths 3.4679, 8.1650, 11.1976 Å; angles 92.76, 90.00, 90.00 degrees
With the nearest neighbours (Å) after each atom.
Element x y z (fractional)
Tl1 0.5000 0.6997 0.5551  6 Hg 3.38-3.61, 3 Tl 3.43-3.47, 4 Sn 3.45-3.46
Tl2 0.5000 0.1566 0.8931  2 Sn 3.45, 8 Hg 3.46-3.53, 3 Tl 3.47-3.59
Tl3 0.5000 0.3003 0.4449  6 Hg 3.38-3.61, 3 Tl 3.43-3.47, 4 Sn 3.45-3.46
Tl4 0.5000 0.8434 0.1069  2 Sn 3.45, 8 Hg 3.46-3.53, 3 Tl 3.47-3.59
Sn1 0.0000 0.0534 0.6335  1 Sn 3.07, 2 Hg 3.15-3.17
Sn2 0.0000 0.9466 0.3665  1 Sn 3.07, 2 Hg 3.15-3.17
Hg1 0.0000 0.5693 0.2847  1 Sn 3.17, 4 Hg 3.19-3.47, 4 Tl 3.38-3.52
Hg2 0.0000 0.2053 0.1671  4 Hg 3.12-3.47, 1 Sn 3.15, 2 Tl 3.46
Hg3 0.0000 0.5000 0.0000  6 Hg 3.12-3.47, 4 Tl 3.46
Hg4 0.0000 0.7947 0.8329  4 Hg 3.12-3.47, 1 Sn 3.15, 2 Tl 3.46
Hg5 0.0000 0.4307 0.7153  1 Sn 3.17, 4 Hg 3.19-3.47, 4 Tl 3.38-3.52

Summary:
ΔH_f (0 K)	0.32	kcal/mol of atoms
distance to the lowest polymorph of the same formula	0.00	kJ per mole of atoms
ρ	10.790	g/cm³
symmetry	P2/m (10)
calculated total energy	-1.712	eV per atom
crystal system	monoclinic